DFT (GGA-PBE) results for crystalline Pr3Pd3Rh at its relaxed geometry.

```
data_Pr3Pd3Rh
_chemical_formula_sum 'Pr6 Pd6 Rh2'
_cell_length_a 4.019
_cell_length_b 4.438
_cell_length_c 18.738
_cell_angle_alpha 90.00
_cell_angle_beta 90.00
_cell_angle_gamma 90.00
_space_group_name_H-M_alt 'I m m 2'
_space_group_IT_number 44
loop_
_space_group_symop_operation_xyz
'x,y,z'
'-x,-y,z'
'-x,y,z'
'x,-y,z'
'x+1/2,y+1/2,z+1/2'
'-x+1/2,-y+1/2,z+1/2'
'-x+1/2,y+1/2,z+1/2'
'x+1/2,-y+1/2,z+1/2'
loop_
_atom_site_label
_atom_site_type_symbol
_atom_site_fract_x
_atom_site_fract_y
_atom_site_fract_z
Pr1 Pr 0.000 0.000 0.000
Pr2 Pr 0.000 0.000 0.367
Pr3 Pr 0.000 0.500 0.189
Pd1 Pd 0.000 0.000 0.532
Pd2 Pd 0.000 0.000 0.837
Pd3 Pd 0.000 0.500 0.617
Rh1 Rh 0.000 0.500 0.755
```


DFT (GGA-PBE) results for crystalline Pr3PdRh8 at its relaxed geometry.

```
data_Pr3PdRh8
_chemical_formula_sum 'Pr9 Pd3 Rh24'
_cell_length_a 5.3739
_cell_length_b 5.3739
_cell_length_c 26.3516
_cell_angle_alpha 90.00
_cell_angle_beta 90.00
_cell_angle_gamma 120.00
_space_group_name_H-M_alt 'R 3 m'
_space_group_IT_number 160
_space_group_name_Hall 'R 3 -2"'
loop_
_atom_site_label
_atom_site_type_symbol
_atom_site_fract_x
_atom_site_fract_y
_atom_site_fract_z
Pr1 Pr 0.0000 0.0000 0.0000
Pr2 Pr 0.0000 0.0000 0.1306
Pr3 Pr 0.0000 0.0000 0.6135
Pd1 Pd 0.0000 0.0000 0.4902
Rh1 Rh 0.0000 0.0000 0.3120
Rh2 Rh 0.0000 0.0000 0.8123
Rh3 Rh 0.0007 0.5003 0.0632
Rh4 Rh 0.0005 0.5003 0.5610
```


DFT (GGA-PBE) results for crystalline Pr3PdRh2 at its relaxed geometry.

```
data_Pr3PdRh2
_chemical_formula_sum 'Pr6 Pd2 Rh4'
_cell_length_a 4.045
_cell_length_b 17.374
_cell_length_c 4.139
_cell_angle_alpha 90.00
_cell_angle_beta 90.00
_cell_angle_gamma 90.00
_space_group_name_H-M_alt 'C m m m'
_space_group_IT_number 65
_space_group_name_Hall '-C 2 2'
loop_
_atom_site_label
_atom_site_type_symbol
_atom_site_fract_x
_atom_site_fract_y
_atom_site_fract_z
Pr1 Pr 0.000 0.000 0.000
Pr2 Pr 0.000 0.168 0.500
Pd1 Pd 0.000 0.500 0.500
Rh1 Rh 0.000 0.366 0.000
```


DFT (GGA-PBE) results for crystalline PrPd2Rh at its relaxed geometry.

```
data_PrPd2Rh
_chemical_formula_sum 'Pr4 Pd8 Rh4'
_cell_length_a 6.712
_cell_length_b 6.712
_cell_length_c 6.712
_cell_angle_alpha 90.00
_cell_angle_beta 90.00
_cell_angle_gamma 90.00
_space_group_name_H-M_alt 'F m -3 m'
_space_group_IT_number 225
_space_group_name_Hall '-F 4 2 3'
loop_
_atom_site_label
_atom_site_type_symbol
_atom_site_fract_x
_atom_site_fract_y
_atom_site_fract_z
Pr1 Pr 0.000 0.000 0.000
Pd1 Pd 0.250 0.250 0.250
Rh1 Rh 0.000 0.000 0.500
```


DFT (GGA-PBE) results for crystalline Pr4Pd3Rh at its relaxed geometry.

```
data_Pr4Pd3Rh
_chemical_formula_sum 'Pr4 Pd3 Rh1'
_cell_length_a 3.925
_cell_length_b 4.612
_cell_length_c 10.933
_cell_angle_alpha 90.00
_cell_angle_beta 90.00
_cell_angle_gamma 90.00
_space_group_name_H-M_alt 'P m m 2'
_space_group_IT_number 25
loop_
_space_group_symop_operation_xyz
'x,y,z'
'-x,-y,z'
'-x,y,z'
'x,-y,z'
loop_
_atom_site_label
_atom_site_type_symbol
_atom_site_fract_x
_atom_site_fract_y
_atom_site_fract_z
Pr1 Pr 0.000 0.000 0.000
Pr2 Pr 0.000 0.500 0.266
Pr3 Pr 0.500 0.000 0.485
Pr4 Pr 0.500 0.500 0.765
Pd1 Pd 0.000 0.000 0.714
Pd2 Pd 0.000 0.500 0.547
Pd3 Pd 0.500 0.500 0.044
Rh1 Rh 0.500 0.000 0.220
```


DFT (GGA-PBE) results for crystalline PrPdRh at its relaxed geometry.

## Properties
As for the energy above the most stable polymorph in this dataset: 0.466 eV per formula unit.

```
data_PrPdRh
_chemical_formula_sum 'Pr2 Pd2 Rh2'
_cell_length_a 5.305
_cell_length_b 4.676
_cell_length_c 5.478
_cell_angle_alpha 90.00
_cell_angle_beta 114.52
_cell_angle_gamma 90.00
_space_group_name_H-M_alt 'P 1 21/m 1'
_space_group_IT_number 11
loop_
_space_group_symop_operation_xyz
'x,y,z'
'-x,-y,-z'
'-x,y+1/2,-z'
'x,-y+1/2,z'
loop_
_atom_site_label
_atom_site_type_symbol
_atom_site_fract_x
_atom_site_fract_y
_atom_site_fract_z
Pr1 Pr 0.031 0.250 0.251
Pd1 Pd 0.418 0.250 0.853
Rh1 Rh 0.396 0.750 0.569
```


DFT (GGA-PBE) results for crystalline Pr8Pd2Rh at its relaxed geometry.

## Properties
As for the energy above the most stable polymorph in this dataset: 0.828 eV per formula unit.

```
data_Pr8Pd2Rh
_chemical_formula_sum 'Pr16 Pd4 Rh2'
_cell_length_a 8.649
_cell_length_b 13.126
_cell_length_c 6.457
_cell_angle_alpha 90.00
_cell_angle_beta 111.74
_cell_angle_gamma 90.00
_space_group_name_H-M_alt 'C 1 m 1'
_space_group_IT_number 8
loop_
_space_group_symop_operation_xyz
'x,y,z'
'x,-y,z'
'x+1/2,y+1/2,z'
'x+1/2,-y+1/2,z'
loop_
_atom_site_label
_atom_site_type_symbol
_atom_site_fract_x
_atom_site_fract_y
_atom_site_fract_z
Pr1 Pr 0.000 0.000 0.000
Pr2 Pr 0.075 0.369 0.792
Pr3 Pr 0.139 0.130 0.550
Pr4 Pr 0.214 0.500 0.365
Pr5 Pr 0.354 0.196 0.178
Pd1 Pd 0.360 0.313 0.682
Rh1 Rh 0.368 0.000 0.385
```


DFT (GGA-PBE) results for crystalline Pr3PdRh at its relaxed geometry.

## Properties
As for the energy above the most stable polymorph in this dataset: 0.188 eV per formula unit.

```
data_Pr3PdRh
_chemical_formula_sum 'Pr6 Pd2 Rh2'
_cell_length_a 8.421
_cell_length_b 4.038
_cell_length_c 8.481
_cell_angle_alpha 90.00
_cell_angle_beta 107.67
_cell_angle_gamma 90.00
_space_group_name_H-M_alt 'P 1 21/m 1'
_space_group_IT_number 11
loop_
_space_group_symop_operation_xyz
'x,y,z'
'-x,-y,-z'
'-x,y+1/2,-z'
'x,-y+1/2,z'
loop_
_atom_site_label
_atom_site_type_symbol
_atom_site_fract_x
_atom_site_fract_y
_atom_site_fract_z
Pr1 Pr 0.038 0.250 0.183
Pr2 Pr 0.255 0.750 0.569
Pr3 Pr 0.394 0.750 0.142
Pd1 Pd 0.236 0.250 0.842
Rh1 Rh 0.384 0.250 0.393
```


DFT (GGA-PBE) results for crystalline PrPdRh at its relaxed geometry.

## Properties
As for the energy above the most stable polymorph in this dataset: 0.000 eV per formula unit.

```
data_PrPdRh
_chemical_formula_sum 'Pr4 Pd4 Rh4'
_cell_length_a 5.454
_cell_length_b 5.513
_cell_length_c 7.770
_cell_angle_alpha 90.00
_cell_angle_beta 90.00
_cell_angle_gamma 90.00
_space_group_name_H-M_alt 'I m m a'
_space_group_IT_number 74
_space_group_name_Hall '-I 2b 2'
loop_
_atom_site_label
_atom_site_type_symbol
_atom_site_fract_x
_atom_site_fract_y
_atom_site_fract_z
Pr1 Pr 0.000 0.250 0.127
Pd1 Pd 0.250 0.250 0.750
Rh1 Rh 0.000 0.000 0.500
```


DFT (GGA-PBE) results for crystalline Pr7Pd2Rh2 at its relaxed geometry.

```
data_Pr7Pd2Rh2
_chemical_formula_sum 'Pr14 Pd4 Rh4'
_cell_length_a 11.313
_cell_length_b 7.994
_cell_length_c 7.140
_cell_angle_alpha 90.00
_cell_angle_beta 90.08
_cell_angle_gamma 90.00
_space_group_name_H-M_alt 'C 1 2/m 1'
_space_group_IT_number 12
loop_
_space_group_symop_operation_xyz
'x,y,z'
'-x,-y,-z'
'-x,y,-z'
'x,-y,z'
'x+1/2,y+1/2,z'
'-x+1/2,-y+1/2,-z'
'-x+1/2,y+1/2,-z'
'x+1/2,-y+1/2,z'
loop_
_atom_site_label
_atom_site_type_symbol
_atom_site_fract_x
_atom_site_fract_y
_atom_site_fract_z
Pr1 Pr 0.000 0.000 0.000
Pr2 Pr 0.000 0.500 0.258
Pr3 Pr 0.250 0.250 0.267
Pd1 Pd 0.000 0.183 0.500
Rh1 Rh 0.207 0.500 0.000
```


no.,total magnetic moment (Bohr magnetons per cell),formation enthalpy at 0 K (eV per atom)
1,0.0,-0.704
2,0.0,-0.448
3,0.0,-0.484
4,0.0,-0.383
5,0.0,-0.760
6,0.0,-0.508
7,0.0,-0.297
8,0.0,-0.565
9,0.0,-0.663
10,0.0,-0.379